This record from Alexandria describes a relaxed structure of TmTlHgBr6. The functional is GGA-PBE.

The structure in extended XYZ format:
```
9
Lattice="7.3054 0.0000 0.0000 -3.6527 6.3267 0.0000 0.0000 0.0000 7.2854" Properties=species:S:1:pos:R:3 pbc="T T T"
Tm 0.0000 0.0000 0.0000
Tl 0.0000 4.2178 3.6427
Hg 3.6527 2.1089 0.0000
Br 2.2513 0.2098 5.6589
Br 1.3074 1.8447 1.6265
Br 5.0541 0.2098 1.6265
Br 2.7088 4.2721 5.6589
Br 5.9980 1.8447 5.6589
Br 4.5966 4.2721 1.6265
```

## Properties
The value obtained for the density of states at the Fermi level is 0.00 states/eV/f.u. The calculation puts the uncorrected formation energy at -10.409 eV per formula unit. For the total magnetization, the calculation gives 0.00 μB per formula unit. The value obtained for the calculated total energy is -27.6 eV per formula unit.